Here is a relaxed Tb5Y2Th2 crystal from Alexandria. Energies are from PBE-GGA.

Geometry as extended XYZ:
```
18
Lattice="-5.912 -7.921 -6.665 4.784 0.292 -4.590 4.159 -1.726 9.023" Properties=species:S:1:pos:R:3 pbc="T T T"
Tb 5.673 -2.964 3.662
Tb -0.586 -6.266 -7.867
Tb 3.369 -2.992 6.057
Tb -3.066 -6.529 -5.672
Tb -0.745 -3.384 -0.089
Tb 2.876 -6.025 -1.280
Tb 1.337 -3.653 -2.733
Tb 0.794 -5.756 1.364
Tb 5.082 -0.839 1.371
Tb -2.973 -8.572 -2.719
Y 3.494 -1.251 -1.697
Y -0.002 -8.076 -0.977
Y -1.807 -5.294 -2.682
Y 5.299 -4.032 0.007
Th 0.089 0.005 -0.085
Th -0.475 -3.809 -5.713
Th 2.177 -2.725 1.370
Th 1.578 -6.586 -4.297
```

**Offset from the most stable computed form**: 0.000 eV per atom
**Magnetization**: 0.000 μB/atom
**Energy**: -5.42 eV/atom
**SG**: Ima2 (46)
**Energy of formation**: 2.1 eV per formula unit